# YHgF2

An optimized crystal structure of YHgF2 (GGA-PBE, the Alexandria database). Values from VASP.

## Properties
formation energy without anion corrections = -2.4476 eV/atom

The structure in Quantum ESPRESSO input format:
```
&SYSTEM
  ibrav = 0, nat = 8, ntyp = 3
/
ATOMIC_SPECIES
Y 88.91 Y.upf
Hg 200.59 Hg.upf
F 19.00 F.upf
CELL_PARAMETERS angstrom
-2.6557 2.6557 6.8210
2.6557 -2.6557 6.8210
2.6557 2.6557 -6.8210
ATOMIC_POSITIONS crystal
Y 0.0000 0.0000 0.0000
Y 0.7500 0.2500 0.5000
Hg 0.2500 0.7500 0.5000
Hg 0.5000 0.5000 0.0000
F 0.3750 0.1239 0.2489
F 0.8739 0.6250 0.7489
F 0.8750 0.1261 0.7511
F 0.8761 0.1250 0.2511
```

***

# KRuRh2

An optimized crystal structure of KRuRh2 (GGA-PBE, the Alexandria database). Values from VASP.

## Properties
energy of formation = 1169 meV per atom

The structure in Quantum ESPRESSO input format:
```
&SYSTEM
  ibrav = 0, nat = 4, ntyp = 3
/
ATOMIC_SPECIES
K 39.10 K.upf
Ru 101.07 Ru.upf
Rh 102.91 Rh.upf
CELL_PARAMETERS angstrom
0.0000 3.2593 3.2593
3.2593 0.0000 3.2593
3.2593 3.2593 0.0000
ATOMIC_POSITIONS crystal
K 0.0000 0.0000 0.0000
Ru 0.7500 0.7500 0.7500
Rh 0.2500 0.2500 0.2500
Rh 0.5000 0.5000 0.5000
```

***

Calculated volume: 192.4 69.2 (Å³/cell)